No. 1
TaTi4Pd3: optimized geometry, PBE.

Cell: 3.273 3.273 12.158 Å, 90.00 90.00 90.00°
Site moments in Bohr magnetons follow the coordinates.
Fractional positions:
Pd1 0.500 0.500 0.260  0.02
Pd2 0.500 0.500 0.500  0.05
Pd3 0.500 0.500 0.740  0.02
Ti1 0.000 0.000 0.381  0.35
Ti2 0.000 0.000 0.129  0.02
Ti3 0.000 0.000 0.871  0.02
Ti4 0.000 0.000 0.619  0.35
Ta1 0.500 0.500 0.000  0.01

Properties
theoretical density: 8.82 g/cm³
calculated volume: 16.3 A^3/atom
crystal system: tetragonal
ΔE_f: -378 meV/atom

***

No. 2
TaTi2Pd4: optimized geometry, PBE.

Cell: 4.464 4.464 7.037 Å, 71.51 71.51 60.00°
Fractional positions:
Pd1 0.862 0.862 0.413
Pd2 0.411 0.411 0.767
Pd3 0.589 0.589 0.233
Pd4 0.138 0.138 0.587
Ti1 0.727 0.727 0.818
Ti2 0.273 0.273 0.182
Ta1 0.000 0.000 0.000

Properties
theoretical density: 10.32 g/cm³
calculated volume: 16.1 A^3/atom
crystal system: trigonal
ΔE_f: -327 meV/atom

***

No. 3
TaTi2Pd2: optimized geometry, PBE.

Cell: 3.135 3.134 8.848 Å, 79.80 90.00 90.00°
Fractional positions:
Pd1 0.000 0.816 0.368
Pd2 0.000 0.184 0.632
Ta1 0.000 0.000 0.000
Ti1 0.500 0.603 0.793
Ti2 0.500 0.397 0.207

Properties
theoretical density: 9.50 g/cm³
calculated volume: 17.1 A^3/atom
relative energy among the computed polymorphs: 0.0 kJ per mole of atoms
crystal system: orthorhombic
ΔE_f: -306 meV/atom

***

No. 4
TaTiPd2: optimized geometry, PBE.

Cell: 4.070 3.959 3.959 Å, 90.00 90.00 90.00°
Fractional positions:
Pd1 0.000 0.500 0.000
Pd2 0.000 0.000 0.500
Ti1 0.500 0.000 0.000
Ta1 0.500 0.500 0.500

Properties
theoretical density: 11.50 g/cm³
calculated volume: 15.9 A^3/atom
crystal system: tetragonal
ΔE_f: -377 meV/atom

***

No. 5
TaTiPd: optimized geometry, PBE.

Cell: 2.868 5.162 14.014 Å, 77.31 90.00 90.00°
Fractional positions:
Ti1 0.500 0.086 0.158
Ti2 0.000 0.432 0.835
Ti3 0.500 0.934 0.832
Ti4 0.000 0.213 0.668
Pd1 0.000 0.016 0.994
Pd2 0.500 0.515 0.995
Pd3 0.000 0.984 0.506
Pd4 0.500 0.483 0.506
Ta1 0.500 0.263 0.337
Ta2 0.000 0.765 0.339
Ta3 0.500 0.709 0.671
Ta4 0.000 0.599 0.160

Properties
theoretical density: 11.00 g/cm³
calculated volume: 16.9 A^3/atom
relative energy among the computed polymorphs: 15.8 kJ per mole of atoms
crystal system: monoclinic
ΔE_f: -159 meV/atom

***

No. 6
Ta3TiPd: optimized geometry, PBE.

Cell: 4.825 4.825 4.825 Å, 90.00 90.00 90.00°
Site moments in Bohr magnetons follow the coordinates.
Fractional positions:
Ta1 0.500 0.000 0.000  -0.03
Ta2 0.000 0.500 0.000  0.10
Ta3 0.000 0.000 0.500  0.09
Pd1 0.000 0.000 0.000  0.06
Ti1 0.500 0.500 0.500  0.87

Properties
theoretical density: 10.31 g/cm³
calculated volume: 22.5 A^3/atom
relative energy among the computed polymorphs: 126.9 kJ per mole of atoms
crystal system: cubic
ΔE_f: 1393 meV/atom

***

No. 7
TaTiPd: optimized geometry, PBE.

Cell: 2.886 2.886 11.957 Å, 90.00 90.00 90.00°
Fractional positions:
Ta1 0.500 0.000 0.093
Ta2 0.000 0.500 0.907
Ti1 0.000 0.500 0.580
Ti2 0.500 0.000 0.420
Pd1 0.500 0.000 0.736
Pd2 0.000 0.500 0.264

Properties
theoretical density: 11.18 g/cm³
calculated volume: 16.6 A^3/atom
relative energy among the computed polymorphs: 0.0 kJ per mole of atoms
crystal system: tetragonal
ΔE_f: -323 meV/atom

***

No. 8
TaTi2Pd6: optimized geometry, PBE.

Cell: 6.042 5.432 5.432 Å, 59.99 89.89 89.89°
Site moments in Bohr magnetons follow the coordinates.
Fractional positions:
Pd1 0.314 0.827 0.827  0.01
Pd2 0.313 0.827 0.345  0.01
Pd3 0.687 0.173 0.655  0.01
Pd4 0.686 0.173 0.173  0.01
Pd5 0.313 0.345 0.827  0.01
Pd6 0.687 0.655 0.173  0.01
Ti1 0.890 0.667 0.667  0.28
Ti2 0.110 0.333 0.333  0.28
Ta1 0.000 0.000 0.000  0.00

Properties
theoretical density: 9.84 g/cm³
calculated volume: 17.2 A^3/atom
crystal system: monoclinic
ΔE_f: -244 meV/atom

***

No. 9
TaTiPd2: optimized geometry, PBE.

Cell: 2.991 6.337 14.194 Å, 90.00 90.00 90.00°
Fractional positions:
Pd1 0.250 0.209 0.028
Pd2 0.250 0.056 0.851
Pd3 0.250 0.556 0.649
Pd4 0.250 0.709 0.472
Pd5 0.750 0.291 0.528
Pd6 0.750 0.944 0.149
Pd7 0.750 0.444 0.351
Pd8 0.750 0.791 0.972
Ti1 0.250 0.229 0.233
Ti2 0.250 0.729 0.267
Ti3 0.750 0.771 0.767
Ti4 0.750 0.271 0.733
Ta1 0.750 0.014 0.386
Ta2 0.250 0.486 0.886
Ta3 0.250 0.986 0.614
Ta4 0.750 0.514 0.114

Properties
theoretical density: 10.90 g/cm³
calculated volume: 16.8 A^3/atom
crystal system: orthorhombic
ΔE_f: -226 meV/atom

***

No. 10
Ta3TiPd: optimized geometry, PBE.

Cell: 4.643 4.643 4.643 Å, 90.00 90.00 90.00°
Fractional positions:
Ti1 0.000 0.000 0.000
Ta1 0.000 0.000 0.500
Ta2 0.500 0.000 0.000
Ta3 0.000 0.500 0.000
Pd1 0.500 0.500 0.500

Properties
theoretical density: 11.57 g/cm³
calculated volume: 20.0 A^3/atom
relative energy among the computed polymorphs: 126.9 kJ per mole of atoms
crystal system: cubic
ΔE_f: 1393 meV/atom

***

No. 11
Ta2TiPd8: optimized geometry, PBE.

Cell: 4.016 6.471 7.338 Å, 108.07 105.88 90.00°
Fractional positions:
Pd1 0.679 0.911 0.358
Pd2 0.399 0.553 0.797
Pd3 0.143 0.193 0.287
Pd4 0.321 0.089 0.642
Pd5 0.959 0.266 0.918
Pd6 0.601 0.447 0.203
Pd7 0.041 0.734 0.082
Pd8 0.857 0.807 0.713
Ta1 0.781 0.342 0.562
Ta2 0.219 0.658 0.438
Ti1 0.500 0.000 0.000

Properties
theoretical density: 12.06 g/cm³
calculated volume: 15.8 A^3/atom
crystal system: monoclinic
ΔE_f: -463 meV/atom

***

No. 12
Ta2Ti5Pd: optimized geometry, PBE.

Cell: 5.624 5.622 5.584 Å, 109.46 109.47 109.77°
Fractional positions:
Pd1 0.777 0.779 0.000
Ti1 0.272 0.283 0.500
Ti2 0.273 0.764 0.000
Ti3 0.303 0.253 0.000
Ti4 0.792 0.282 0.000
Ti5 0.772 0.784 0.500
Ta1 0.278 0.799 0.522
Ta2 0.756 0.278 0.478

Properties
theoretical density: 8.68 g/cm³
calculated volume: 16.9 A^3/atom
crystal system: orthorhombic
ΔE_f: -89 meV/atom